Record 1
K2BaIr: relaxed, PBE-GGA.

a = 4.2644 Å, b = 5.2762 Å, c = 6.5367 Å
α = 90.00°, β = 90.00°, γ = 90.00°
Element x y z (fractional)
Ba1 0.5000 0.5000 0.2500
Ir1 0.5000 0.5000 0.7500
K1 0.0000 0.0000 0.9621
K2 0.0000 0.0000 0.5379

Output
The density comes out at 4.604 g/cm³. The total energy comes out at -2.486 eV per atom. The excess energy over the best structure of this formula in the dataset is 450 meV per atom. The total moment comes out at 0.2 μB/cell. The formation energy comes out at 758 meV/atom.



Record 2
SmAl3IrRh: relaxed, PBE-GGA.

a = 5.5963 Å, b = 7.7694 Å, c = 6.6779 Å
α = 125.57°, β = 90.00°, γ = 90.00°
Element x y z (fractional)
Sm1 0.7500 0.2926 0.5852
Sm2 0.2500 0.7074 0.4148
Al1 0.2500 0.1772 0.3543
Al2 0.0000 0.2612 0.0000
Al3 0.5000 0.7388 0.0000
Al4 0.5000 0.2612 0.0000
Al5 0.0000 0.7388 0.0000
Al6 0.7500 0.8228 0.6457
Ir1 0.2500 0.4058 0.8116
Ir2 0.7500 0.5942 0.1884
Rh1 0.2500 0.9555 0.9110
Rh2 0.7500 0.0445 0.0890

Output
The density comes out at 7.403 g/cm³. The total energy comes out at -5.980 eV per atom. The total moment comes out at 0.0 μB/cell. The formation energy comes out at -620 meV/atom.



Record 3
TlIn4SnSe8: relaxed, PBE-GGA.

a = 8.4018 Å, b = 8.4018 Å, c = 8.3602 Å
α = 59.84°, β = 59.84°, γ = 60.00°
Element x y z (fractional)
Tl1 0.3777 0.3777 0.8670
In1 0.6190 0.6190 0.1431
In2 0.0008 0.4982 0.5001
In3 0.4982 0.0008 0.5001
In4 0.0008 0.0008 0.5001
Sn1 0.0023 0.0023 0.9930
Se1 0.2451 0.7864 0.7233
Se2 0.7864 0.2451 0.7233
Se3 0.2451 0.2451 0.7233
Se4 0.2378 0.2378 0.2866
Se5 0.7518 0.2249 0.2715
Se6 0.2249 0.7518 0.2715
Se7 0.7518 0.7518 0.2715
Se8 0.7582 0.7582 0.7255

Output
The density comes out at 5.641 g/cm³. Its raw formation energy is -0.412 eV per atom. The total energy comes out at -3.640 eV per atom. The total moment comes out at 0.0 μB/cell.



Record 4
V12Cr5Tc2: relaxed, PBE-GGA.

a = 5.9315 Å, b = 7.3326 Å, c = 6.4868 Å
α = 88.86°, β = 90.00°, γ = 113.86°
Element x y z (fractional)
V1 0.8524 0.7049 0.0989
V2 0.0500 0.6110 0.8004
V3 0.5610 0.6110 0.8004
V4 0.1488 0.7699 0.3888
V5 0.6211 0.7699 0.3888
V6 0.4561 0.9121 0.6992
V7 0.5439 0.0879 0.3008
V8 0.8512 0.2301 0.6112
V9 0.3789 0.2301 0.6112
V10 0.9500 0.3890 0.1996
V11 0.4390 0.3890 0.1996
V12 0.1476 0.2951 0.9011
Cr1 0.2481 0.4961 0.5032
Cr2 0.3436 0.6872 0.0902
Cr3 0.0000 0.0000 0.5000
Cr4 0.6564 0.3128 0.9098
Cr5 0.7519 0.5039 0.4968
Tc1 0.7556 0.0000 0.0000
Tc2 0.2444 0.0000 0.0000

Output
The density comes out at 6.870 g/cm³. The total energy comes out at -9.230 eV per atom. The total moment comes out at 0.0 μB/cell. The formation energy comes out at 152 meV/atom.



Which formula does entry 2 have?
SmAl3IrRh